Record 1
## La9PmEr2 (PBE)

Data for La9PmEr2 after structural relaxation.

Results
As for the space group: P4/mmm, No. 123. The value obtained for the formation energy from the elements is 0.01 eV/atom. The calculation puts the calculated volume at 35.3 Å³/atom. As for the size of the total moment: 0.00 μB/f.u.

Unit cell a=5.204 b=5.204 c=15.640 alpha=90.00 beta=90.00 gamma=90.00
Fractional coordinates of all 12 atoms:
Er (0.000, 0.000, 0.335)
Er (0.000, 0.000, 0.665)
La (0.500, 0.500, 0.000)
Pm (0.000, 0.000, 0.000)
La (0.500, 0.000, 0.831)
La (0.500, 0.000, 0.500)
La (0.500, 0.000, 0.169)
La (0.000, 0.500, 0.831)
La (0.500, 0.500, 0.334)
La (0.000, 0.500, 0.500)
La (0.000, 0.500, 0.169)
La (0.500, 0.500, 0.666)

Record 2
## LaPm12Er6 (PBE)

Data for LaPm12Er6 after structural relaxation.

Results
As for the space group: R-3, No. 148. The value obtained for the formation energy from the elements is 0.13 eV/atom. The calculation puts the calculated volume at 34.0 Å³/atom. As for the size of the total moment: 0.00 μB/f.u.

Unit cell a=8.649 b=8.649 c=8.649 alpha=88.79 beta=88.79 gamma=88.79
Fractional coordinates of all 19 atoms:
Pm (0.985, 0.802, 0.638)
Pm (0.462, 0.567, 0.220)
Pm (0.220, 0.462, 0.567)
Pm (0.780, 0.538, 0.433)
Er (0.698, 0.259, 0.099)
Er (0.741, 0.901, 0.302)
Er (0.099, 0.698, 0.259)
Pm (0.638, 0.985, 0.802)
Er (0.302, 0.741, 0.901)
Pm (0.433, 0.780, 0.538)
Pm (0.538, 0.433, 0.780)
Pm (0.567, 0.220, 0.462)
Pm (0.802, 0.638, 0.985)
Pm (0.198, 0.362, 0.015)
Er (0.259, 0.099, 0.698)
La (0.000, 0.000, 0.000)
Pm (0.362, 0.015, 0.198)
Er (0.901, 0.302, 0.741)
Pm (0.015, 0.198, 0.362)

Record 3
## LaPm4Er (PBE)

Data for LaPm4Er after structural relaxation.

Results
As for the space group: C2/m, No. 12. The value obtained for the formation energy from the elements is 0.02 eV/atom. The calculation puts the calculated volume at 34.2 Å³/atom. As for the size of the total moment: 0.00 μB/f.u.

Unit cell a=3.655 b=12.096 c=10.270 alpha=115.30 beta=90.00 gamma=90.00
Fractional coordinates of all 12 atoms:
Pm (0.001, 0.333, 0.670)
Pm (0.000, 0.666, 0.837)
Pm (0.500, 0.166, 0.337)
Pm (0.499, 0.833, 0.170)
La (0.500, 0.500, 0.500)
Pm (0.999, 0.667, 0.330)
Er (0.500, 0.500, 0.000)
La (0.000, 0.000, 0.000)
Pm (0.501, 0.167, 0.830)
Pm (0.000, 0.334, 0.163)
Pm (0.500, 0.834, 0.663)
Er (0.000, 0.000, 0.500)

Record 4
## La3Pm3Er5 (PBE)

Data for La3Pm3Er5 after structural relaxation.

Results
As for the space group: P-62m, No. 189. The value obtained for the formation energy from the elements is 0.75 eV/atom. The calculation puts the calculated volume at 40.2 Å³/atom. As for the size of the total moment: 0.00 μB/f.u.

Unit cell a=5.421 b=9.702 c=9.702 alpha=120.00 beta=90.00 gamma=90.00
Fractional coordinates of all 11 atoms:
Er (0.500, 0.333, 0.667)
Er (0.500, 0.715, 0.000)
La (0.500, 0.000, 0.357)
Er (0.500, 0.000, 0.715)
Pm (0.000, 0.000, 0.506)
Pm (0.000, 0.506, 0.000)
Er (0.500, 0.667, 0.333)
La (0.500, 0.357, 0.000)
La (0.500, 0.643, 0.643)
Pm (0.000, 0.494, 0.494)
Er (0.500, 0.285, 0.285)

Record 5
## LaPm14Er (PBE)

Data for LaPm14Er after structural relaxation.

Results
As for the space group: Amm2, No. 38. The value obtained for the formation energy from the elements is 0.01 eV/atom. The calculation puts the calculated volume at 34.4 Å³/atom. As for the size of the total moment: 0.01 μB/f.u.

Unit cell a=7.302 b=7.302 c=10.312 alpha=90.00 beta=90.00 gamma=89.99
Fractional coordinates of all 16 atoms:
Pm (0.127, 0.873, 0.249)
Pm (0.375, 0.625, 0.500)
Pm (0.623, 0.873, 0.250)
Pm (0.875, 0.125, 0.500)
Pm (0.127, 0.377, 0.750)
Pm (0.875, 0.625, 0.000)
Pm (0.623, 0.377, 0.750)
Pm (0.623, 0.377, 0.250)
La (0.875, 0.125, 0.000)
Pm (0.127, 0.873, 0.751)
Er (0.375, 0.625, 0.000)
Pm (0.375, 0.125, 0.000)
Pm (0.375, 0.125, 0.500)
Pm (0.875, 0.625, 0.500)
Pm (0.127, 0.377, 0.250)
Pm (0.623, 0.873, 0.750)

Record 6
## La12PmEr7 (PBE)

Data for La12PmEr7 after structural relaxation.

Results
As for the space group: R-3, No. 148. The value obtained for the formation energy from the elements is 0.21 eV/atom. The calculation puts the calculated volume at 35.2 Å³/atom. As for the size of the total moment: 0.00 μB/f.u.

Unit cell a=6.364 b=11.498 c=11.498 alpha=116.68 beta=100.63 gamma=100.63
Fractional coordinates of all 20 atoms:
La (0.091, 0.184, 0.593)
La (0.906, 0.408, 0.816)
La (0.431, 0.001, 0.356)
Er (0.885, 0.001, 0.248)
Pm (0.000, 0.000, 0.000)
Er (0.115, 0.999, 0.752)
La (0.571, 0.645, 0.001)
Er (0.363, 0.248, 0.247)
Er (0.116, 0.753, 0.001)
La (0.075, 0.644, 0.645)
Er (0.500, 0.000, 0.000)
La (0.925, 0.356, 0.355)
La (0.094, 0.592, 0.184)
La (0.498, 0.407, 0.592)
Er (0.637, 0.752, 0.753)
La (0.502, 0.593, 0.408)
La (0.429, 0.355, 0.999)
Er (0.884, 0.247, 0.999)
La (0.909, 0.816, 0.407)
La (0.569, 0.999, 0.644)

Record 7
## La4Pm4Er3 (PBE)

Data for La4Pm4Er3 after structural relaxation.

Results
As for the space group: Immm, No. 71. The value obtained for the formation energy from the elements is 0.11 eV/atom. The calculation puts the calculated volume at 35.3 Å³/atom. As for the size of the total moment: 0.00 μB/f.u.

Unit cell a=3.670 b=9.601 c=12.160 alpha=113.25 beta=98.68 gamma=90.00
Fractional coordinates of all 11 atoms:
La (0.644, 0.812, 0.288)
Pm (0.266, 0.766, 0.533)
La (0.356, 0.188, 0.712)
La (0.356, 0.525, 0.712)
Pm (0.500, 0.187, 0.000)
Er (0.000, 0.500, 0.000)
Pm (0.734, 0.234, 0.467)
Er (0.103, 0.103, 0.206)
La (0.644, 0.475, 0.288)
Pm (0.500, 0.813, 0.000)
Er (0.897, 0.897, 0.794)

Record 8
## La5Pm2Er4 (PBE)

Data for La5Pm2Er4 after structural relaxation.

Results
As for the space group: C2/m, No. 12. The value obtained for the formation energy from the elements is 0.03 eV/atom. The calculation puts the calculated volume at 34.2 Å³/atom. As for the size of the total moment: 0.00 μB/f.u.

Unit cell a=5.197 b=8.100 c=20.657 alpha=153.20 beta=97.23 gamma=90.00
Fractional coordinates of all 11 atoms:
La (0.228, 0.550, 0.455)
Pm (0.409, 0.178, 0.818)
La (0.864, 0.277, 0.727)
Er (0.956, 0.102, 0.913)
La (0.136, 0.723, 0.273)
Er (0.320, 0.373, 0.639)
La (0.772, 0.450, 0.545)
Er (0.680, 0.627, 0.361)
La (0.500, 0.000, 0.000)
Pm (0.591, 0.822, 0.182)
Er (0.044, 0.898, 0.087)

Record 9
## La15Pm4Er (PBE)

Data for La15Pm4Er after structural relaxation.

Results
As for the space group: P4/mmm, No. 123. The value obtained for the formation energy from the elements is 0.01 eV/atom. The calculation puts the calculated volume at 35.9 Å³/atom. As for the size of the total moment: 0.00 μB/f.u.

Unit cell a=5.231 b=5.231 c=26.234 alpha=90.00 beta=90.00 gamma=90.00
Fractional coordinates of all 20 atoms:
La (0.000, 0.500, 0.099)
La (0.500, 0.000, 0.701)
La (0.500, 0.500, 0.000)
Pm (0.000, 0.000, 0.600)
Pm (0.000, 0.000, 0.199)
La (0.000, 0.500, 0.299)
La (0.500, 0.500, 0.400)
Er (0.000, 0.000, 0.000)
La (0.500, 0.000, 0.099)
La (0.500, 0.000, 0.500)
La (0.000, 0.500, 0.500)
La (0.000, 0.500, 0.901)
La (0.500, 0.500, 0.199)
Pm (0.000, 0.000, 0.400)
La (0.500, 0.000, 0.901)
La (0.500, 0.500, 0.801)
La (0.000, 0.500, 0.701)
La (0.500, 0.000, 0.299)
Pm (0.000, 0.000, 0.801)
La (0.500, 0.500, 0.600)

Record 10
## La8Pm3Er2 (PBE)

Data for La8Pm3Er2 after structural relaxation.

Results
As for the space group: C2/m, No. 12. The value obtained for the formation energy from the elements is 0.15 eV/atom. The calculation puts the calculated volume at 35.7 Å³/atom. As for the size of the total moment: 0.00 μB/f.u.

Unit cell a=6.245 b=8.995 c=8.995 alpha=83.27 beta=73.36 gamma=73.36
Fractional coordinates of all 13 atoms:
La (0.671, 0.082, 0.569)
La (0.942, 0.145, 0.145)
Pm (0.500, 0.000, 0.000)
Er (0.344, 0.289, 0.289)
La (0.794, 0.447, 0.447)
La (0.329, 0.431, 0.918)
Er (0.656, 0.711, 0.711)
La (0.329, 0.918, 0.431)
La (0.671, 0.569, 0.082)
Pm (0.000, 0.249, 0.751)
La (0.058, 0.855, 0.855)
Pm (0.000, 0.751, 0.249)
La (0.206, 0.553, 0.553)

Record 11
## LaPm6Er6 (PBE)

Data for LaPm6Er6 after structural relaxation.

Results
As for the space group: P6/mmm, No. 191. The value obtained for the formation energy from the elements is 0.25 eV/atom. The calculation puts the calculated volume at 34.4 Å³/atom. As for the size of the total moment: 0.54 μB/f.u.

Unit cell a=6.722 b=6.722 c=11.439 alpha=90.00 beta=90.00 gamma=120.00
Fractional coordinates of all 13 atoms:
Pm (0.667, 0.333, 0.000)
Pm (0.667, 0.333, 0.500)
Er (0.500, 0.000, 0.752)
Er (0.500, 0.000, 0.248)
Pm (0.000, 0.000, 0.651)
Pm (0.333, 0.667, 0.000)
Pm (0.333, 0.667, 0.500)
La (0.000, 0.000, 0.000)
Pm (0.000, 0.000, 0.349)
Er (0.000, 0.500, 0.752)
Er (0.500, 0.500, 0.248)
Er (0.500, 0.500, 0.752)
Er (0.000, 0.500, 0.248)

Record 12
## La4Pm5Er (PBE)

Data for La4Pm5Er after structural relaxation.

Results
As for the space group: I4mm, No. 107. The value obtained for the formation energy from the elements is 0.20 eV/atom. The calculation puts the calculated volume at 35.6 Å³/atom. As for the size of the total moment: 0.00 μB/f.u.

Unit cell a=6.340 b=8.138 c=8.138 alpha=81.27 beta=67.08 gamma=67.08
Fractional coordinates of all 10 atoms:
Pm (0.780, 0.378, 0.000)
La (0.428, 0.325, 0.675)
La (0.427, 0.675, 0.325)
La (0.102, 0.325, 0.325)
Pm (0.158, 0.000, 0.622)
Pm (0.781, 0.000, 0.378)
Pm (0.159, 0.622, 0.000)
Er (0.227, 0.000, 0.000)
Pm (0.695, 0.000, 0.000)
La (0.753, 0.675, 0.675)